# 1
Ge2Ru: optimized geometry, PBE.

a = 3.0893 Å, b = 5.0497 Å, c = 12.4764 Å
α = 90.00°, β = 90.00°, γ = 90.00°
Space group Immm (No. 71)
Unique sites:
Ge1 0.0000 0.0000 0.2107
Ge2 0.0000 0.2637 0.5000
Ru1 0.0000 0.5000 0.1222

V = 16.220 Å³/atom
final energy = -75.9 eV per cell
calculated formation energy = -0.1567 eV/atom


# 2
Co2Ru: optimized geometry, PBE.

a = 2.5938 Å, b = 2.5938 Å, c = 10.6170 Å
α = 90.00°, β = 90.00°, γ = 90.00°
Space group I4/mmm (No. 139)
Unique sites:
Co1 0.0000 0.0000 0.1726
Ru1 0.0000 0.0000 0.5000

excess energy over the best structure of this formula in the dataset = 0.040 eV/atom
V = 11.905 Å³/atom
final energy = -46.0 eV per cell
calculated formation energy = 0.1629 eV/atom


# 3
MgReHg2: optimized geometry, PBE.

a = 11.0696 Å, b = 2.9241 Å, c = 5.1455 Å
α = 90.00°, β = 116.30°, γ = 90.00°
Space group Cm (No. 8)
Unique sites:
Mg1 0.0000 0.0000 0.0000
Re1 0.2667 0.0000 0.5912
Hg1 0.0205 0.5000 0.5229
Hg2 0.2587 0.5000 0.0961

V = 18.664 Å³/atom
final energy = -25.5 eV per cell
calculated formation energy = 0.4778 eV/atom